Entry 1:
Nd2InP3Rh12 | PBE | relaxed

abc: 7.1040 7.1040 7.1040
angles: 73.51 73.51 73.51
Atoms (fractional coordinates):
Rh 0.1502 0.1502 0.6283
Nd 0.3966 0.3966 0.3966
Rh 0.3303 0.3303 0.9113
Rh 0.0887 0.6697 0.6697
Rh 0.6697 0.0887 0.6697
Nd 0.6034 0.6034 0.6034
P 0.0000 0.0000 0.5000
Rh 0.8498 0.8498 0.3717
P 0.5000 0.0000 0.0000
Rh 0.3303 0.9113 0.3303
Rh 0.1502 0.6283 0.1502
Rh 0.3717 0.8498 0.8498
In 0.0000 0.0000 0.0000
P 0.0000 0.5000 0.0000
Rh 0.6283 0.1502 0.1502
Rh 0.6697 0.6697 0.0887
Rh 0.8498 0.3717 0.8498
Rh 0.9113 0.3303 0.3303

Properties
Formation energy = -3.94 eV per formula unit
V = 17.86 Å³ per atom
Calculated total energy = -120.7 eV/cell

Entry 2:
Ac4TlPd | PBE | relaxed

abc: 10.6941 10.6941 10.6941
angles: 60.00 60.00 60.00
Atoms (fractional coordinates):
Pd 0.6066 0.6066 0.1801
Ac 0.1856 0.8144 0.8144
Ac 0.1856 0.8144 0.1856
Ac 0.5570 0.9430 0.5570
Tl 0.1694 0.1694 0.1694
Ac 0.5570 0.5570 0.9430
Tl 0.4918 0.1694 0.1694
Ac 0.9430 0.9430 0.5570
Pd 0.1801 0.6066 0.6066
Ac 0.8144 0.8144 0.1856
Ac 0.4003 0.4003 0.4003
Ac 0.8144 0.1856 0.8144
Tl 0.1694 0.1694 0.4918
Pd 0.6066 0.6066 0.6066
Ac 0.9430 0.5570 0.9430
Ac 0.4003 0.7991 0.4003
Pd 0.6066 0.1801 0.6066
Ac 0.5570 0.9430 0.9430
Ac 0.9430 0.5570 0.5570
Ac 0.7991 0.4003 0.4003
Ac 0.4003 0.4003 0.7991
Ac 0.1856 0.1856 0.8144
Ac 0.8144 0.1856 0.1856
Tl 0.1694 0.4918 0.1694

Properties
Formation energy = -2.33 eV per formula unit
V = 36.03 Å³ per atom
Calculated total energy = -105.3 eV/cell